Entry 1:
K2YAgBr6: optimized geometry, PBE.

a = 7.6618 Å, b = 8.0730 Å, c = 13.1944 Å
α = 90.00°, β = 124.97°, γ = 90.00°
Closest atoms and distances in Å follow each position.
Fractional coordinates of all 20 atoms:
K (0.2226, 0.0787, 0.2485)  6 Br 3.34-3.54
K (0.2226, 0.4213, 0.7485)  6 Br 3.34-3.54
K (0.7774, 0.5787, 0.2515)  6 Br 3.34-3.54
K (0.7774, 0.9213, 0.7515)  6 Br 3.34-3.54
Y (0.5000, 0.0000, 0.0000)  6 Br 2.81-2.82
Y (0.5000, 0.5000, 0.5000)  6 Br 2.81-2.82
Ag (0.0000, 0.0000, 0.5000)  6 Br 2.83-2.99
Ag (0.0000, 0.5000, 0.0000)  6 Br 2.83-2.99
Br (0.1504, 0.1900, 0.9489)  1 Y 2.81, 1 Ag 2.99
Br (0.1504, 0.3100, 0.4489)  1 Y 2.81, 1 Ag 2.99
Br (0.2637, 0.7064, 0.9497)  1 Y 2.82, 1 Ag 2.97
Br (0.2637, 0.7936, 0.4497)  1 Y 2.82, 1 Ag 2.97
Br (0.3531, 0.0245, 0.7497)  1 Y 2.82, 1 Ag 2.83
Br (0.3531, 0.4755, 0.2497)  1 Y 2.82, 1 Ag 2.83
Br (0.6469, 0.5245, 0.7503)  1 Y 2.82, 1 Ag 2.83
Br (0.6469, 0.9755, 0.2503)  1 Y 2.82, 1 Ag 2.83
Br (0.7363, 0.2064, 0.5503)  1 Y 2.82, 1 Ag 2.97
Br (0.7363, 0.2936, 0.0503)  1 Y 2.82, 1 Ag 2.97
Br (0.8496, 0.6900, 0.5511)  1 Y 2.81, 1 Ag 2.99
Br (0.8496, 0.8100, 0.0511)  1 Y 2.81, 1 Ag 2.99

Calculated values
M_tot   0.0 μB/f.u.
Space group   No. 14
Excess energy over the best structure of this formula in the dataset   0.000 eV/atom
Crystal system   monoclinic

---

Entry 2:
La2AgIr: optimized geometry, PBE.

a = 7.1456 Å, b = 7.1456 Å, c = 7.1456 Å
α = 37.71°, β = 37.71°, γ = 37.71°
Closest atoms and distances in Å follow each position.
Fractional coordinates of all 4 atoms:
La (0.0000, 0.0000, 0.0000)  3 Ag 3.15, 3 Ir 3.20, 1 La 3.44
La (0.1728, 0.1728, 0.1728)  3 Ir 3.14, 3 Ag 3.19, 1 La 3.44
Ag (0.4179, 0.4179, 0.4179)  3 Ir 2.67
Ir (0.7558, 0.7558, 0.7558)  3 Ag 2.67

Calculated values
M_tot   0.0 μB/f.u.
Space group   No. 160
Calculated formation energy   -18.7 kJ/mol of atoms
Excess energy over the best structure of this formula in the dataset   0.331 eV/atom
Crystal system   trigonal